# ErTlPtAu | the Alexandria database | GGA-PBE | optimized geometry
data_ErTlPtAu
_space_group_name_H-M_alt 'P 1'
_space_group_IT_number 1
_cell_length_a 4.905
_cell_length_b 4.905
_cell_length_c 4.905
_cell_angle_alpha 60.00
_cell_angle_beta 60.00
_cell_angle_gamma 60.00
loop_
_space_group_symop_operation_xyz
'x,y,z'
loop_
_atom_site_label
_atom_site_type_symbol
_atom_site_fract_x
_atom_site_fract_y
_atom_site_fract_z
_atom_site_occupancy
Pt1 Pt 0.750 0.750 0.750 1
Er1 Er 0.000 0.000 0.000 1
Tl1 Tl 0.500 0.500 0.500 1
Au1 Au 0.250 0.250 0.250 1
# - calculated volume (Å³/atom) = 20.86
# - E_tot (eV/atom) = -4.68
# - formation enthalpy at 0 K (eV/atom) = -0.622
# - crystal system = cubic